Material: MgGa2Co2
Method: DFT, GGA-PBEsol
State: relaxed

## Properties
Total moment: 0.00 μB/f.u.
DOS(E_F): 4.8 states/eV/cell

Cell: 6.9056 6.9056 2.7346 Å, 90.00 90.00 90.00°
Closest atoms and distances in Å follow each position.
Space group P4/mbm (No. 127)
Inequivalent atoms, fractional coordinates:
Mg 0.0000 0.0000 0.0000 [2 per cell]  4 Ga 2.68, 2 Mg 2.73, 8 Co 2.93
Ga 0.1360 0.3640 0.0000 [4 per cell]  6 Co 2.42-2.47, 1 Ga 2.66, 2 Mg 2.68
Co 0.1601 0.6601 0.5000 [4 per cell]  6 Ga 2.42-2.47

Material: Mg2GaCo2
Method: DFT, GGA-PBEsol
State: relaxed

## Properties
Total moment: 0.00 μB/f.u.
DOS(E_F): 1.5 states/eV/cell

Cell: 5.9664 5.9664 4.0830 Å, 90.00 90.00 90.00°
Closest atoms and distances in Å follow each position.
Space group P4/mbm (No. 127)
Inequivalent atoms, fractional coordinates:
Mg 0.1699 0.3301 0.0000 [4 per cell]  6 Co 2.65-2.73, 1 Mg 2.87
Ga 0.0000 0.0000 0.5000 [2 per cell]  4 Co 2.34
Co 0.1307 0.6307 0.5000 [4 per cell]  1 Co 2.21, 2 Ga 2.34

Material: Mg2GaCoW
Method: DFT, GGA-PBEsol
State: relaxed

## Properties
Total moment: 0.14 μB/f.u.
DOS(E_F): 3.9 states/eV/cell

Cell: 4.5773 4.5773 4.4456 Å, 90.00 90.00 90.00°
Closest atoms and distances in Å follow each position.
Space group P4/mmm (No. 123)
Inequivalent atoms, fractional coordinates:
Mg 0.0000 0.5000 0.0000 [2 per cell]  2 Co 2.29
Ga 0.0000 0.0000 0.5000 [1 per cell]  8 Mg 3.19, 4 W 3.24
Co 0.5000 0.5000 0.0000 [1 per cell]  2 W 2.22, 4 Mg 2.29
W 0.5000 0.5000 0.5000 [1 per cell]  2 Co 2.22

Number 1: ΔE_f -0.255 eV per atom. Number 2: ΔE_f -0.133 eV per atom. Number 3: ΔE_f 0.751 eV per atom.